No. 1
Below is Nb3SnSe after structural relaxation, with properties calculated at the GGA-PBE level.

a = 5.910 Å, b = 5.907 Å, c = 7.661 Å
α = 84.75°, β = 60.03°, γ = 61.93°
Atoms (fractional coordinates):
Nb: 0.970 0.678 0.060
Nb: 0.456 0.519 0.419
Nb: 0.472 0.176 0.060
Nb: 0.971 0.174 0.058
Nb: 0.954 0.021 0.419
Nb: 0.455 0.022 0.421
Se: 0.384 0.270 0.741
Se: 0.042 0.926 0.738
Sn: 0.931 0.527 0.451
Sn: 0.496 0.669 0.028

Results
DFT total energy in eV/atom: -7.84
Spin magnetization in μB per formula unit: 0.00



No. 2
Below is Pr2NdTmP4 after structural relaxation, with properties calculated at the GGA-PBE level.

a = 4.137 Å, b = 7.157 Å, c = 7.156 Å
α = 109.46°, β = 90.00°, γ = 90.00°
Atoms (fractional coordinates):
P: 0.500 0.254 0.243
P: 0.000 0.259 0.761
P: 0.500 0.746 0.757
P: 0.000 0.741 0.239
Nd: 0.000 0.000 0.000
Pr: 0.000 0.500 0.500
Pr: 0.500 0.000 0.500
Tm: 0.500 0.500 0.000

Results
Calculated formation energy in eV per atom: -1.53
DFT total energy in eV/atom: -6.58
Spin magnetization in μB per formula unit: 0.00



No. 3
Below is CoTeRuS2 after structural relaxation, with properties calculated at the GGA-PBE level.

a = 4.403 Å, b = 5.876 Å, c = 4.403 Å
α = 90.00°, β = 90.00°, γ = 90.00°
Atoms (fractional coordinates):
Co: 0.500 0.500 0.500
S: 0.000 0.000 0.500
S: 0.500 0.000 0.000
Ru: 0.000 0.000 0.000
Te: 0.000 0.500 0.000

Results
DFT total energy in eV/atom: -4.86
Spin magnetization in μB per formula unit: 2.29



No. 4
Below is MnCSe3 after structural relaxation, with properties calculated at the GGA-PBE level.

a = 4.606 Å, b = 4.606 Å, c = 4.606 Å
α = 90.00°, β = 90.00°, γ = 90.00°
Atoms (fractional coordinates):
Se: 0.000 0.000 0.500
Se: 0.000 0.500 0.000
Se: 0.500 0.000 0.000
C: 0.500 0.500 0.500
Mn: 0.000 0.000 0.000

Results
DFT total energy in eV/atom: -4.13
Spin magnetization in μB per formula unit: 0.00



No. 5
Below is Y3HoZn after structural relaxation, with properties calculated at the GGA-PBE level.

a = 3.637 Å, b = 5.383 Å, c = 14.649 Å
α = 89.92°, β = 97.13°, γ = 90.00°
Atoms (fractional coordinates):
Ho: 0.268 0.250 0.535
Ho: 0.732 0.750 0.465
Y: 0.876 0.249 0.752
Y: 0.045 0.253 0.089
Y: 0.955 0.747 0.911
Y: 0.659 0.250 0.318
Y: 0.124 0.751 0.248
Y: 0.341 0.750 0.682
Zn: 0.460 0.243 0.920
Zn: 0.540 0.757 0.080

Results
Calculated formation energy in eV per atom: -0.13
DFT total energy in eV/atom: -5.18
Spin magnetization in μB per formula unit: 0.00



No. 6
Below is Zn2FeS3 after structural relaxation, with properties calculated at the GGA-PBE level.

a = 7.377 Å, b = 7.377 Å, c = 7.377 Å
α = 53.39°, β = 53.39°, γ = 53.39°
Atoms (fractional coordinates):
S: 0.625 0.625 0.625
S: 0.458 0.795 0.123
S: 0.795 0.123 0.458
S: 0.123 0.458 0.795
S: 0.957 0.957 0.957
S: 0.290 0.290 0.290
Zn: 0.500 0.500 0.500
Zn: 0.001 0.334 0.667
Zn: 0.334 0.667 0.001
Zn: 0.667 0.001 0.334
Fe: 0.834 0.834 0.834
Fe: 0.167 0.167 0.167

Results
DFT total energy in eV/atom: -4.47
Spin magnetization in μB per formula unit: 4.00



No. 7
Below is TlRu2Pt after structural relaxation, with properties calculated at the GGA-PBE level.

a = 4.901 Å, b = 4.901 Å, c = 4.901 Å
α = 131.41°, β = 131.41°, γ = 71.16°
Atoms (fractional coordinates):
Tl: 0.500 0.500 0.000
Ru: 0.000 0.000 0.000
Ru: 0.250 0.750 0.500
Pt: 0.750 0.250 0.500

Results
Calculated formation energy in eV per atom: 0.36
DFT total energy in eV/atom: -6.38
Spin magnetization in μB per formula unit: 0.00



No. 8
Below is TaNbNi6 after structural relaxation, with properties calculated at the GGA-PBE level.

a = 4.249 Å, b = 4.570 Å, c = 5.117 Å
α = 90.00°, β = 90.00°, γ = 90.00°
Atoms (fractional coordinates):
Ni: 0.000 0.159 0.750
Ni: 0.000 0.681 0.500
Ni: 0.500 0.842 0.749
Ni: 0.500 0.842 0.251
Ni: 0.000 0.159 0.250
Ni: 0.500 0.317 0.000
Ta: 0.500 0.350 0.500
Nb: 0.000 0.651 0.000

Results
Calculated formation energy in eV per atom: -0.33
DFT total energy in eV/atom: -7.40
Spin magnetization in μB per formula unit: 0.00